DFT (GGA-PBE) results for crystalline Sn3BW at its relaxed geometry.

Cell lengths 5.2634, 5.2634, 5.2634 Å; angles 90.00, 90.00, 90.00 degrees
Positions (direct):
Sn (0.0000, 0.0000, 0.5000)
Sn (0.0000, 0.5000, 0.0000)
Sn (0.5000, 0.0000, 0.0000)
B (0.5000, 0.5000, 0.5000)
W (0.0000, 0.0000, 0.0000)

Calculated values
Space group ... Pm-3m
E_form ... 1.3526 eV/atom
Crystal system ... cubic

---

DFT (GGA-PBE) results for crystalline SnB3W at its relaxed geometry.

Cell lengths 4.2737, 4.2737, 4.2737 Å; angles 90.00, 90.00, 90.00 degrees
Positions (direct):
Sn (0.0000, 0.0000, 0.0000)
B (0.0000, 0.0000, 0.5000)
B (0.0000, 0.5000, 0.0000)
B (0.5000, 0.0000, 0.0000)
W (0.5000, 0.5000, 0.5000)

Calculated values
Space group ... Pm-3m
E_form ... 2.8574 eV/atom
Crystal system ... cubic

---

DFT (GGA-PBE) results for crystalline SnBW2 at its relaxed geometry.

Cell lengths 4.9975, 4.9975, 12.8446 Å; angles 90.00, 90.00, 90.00 degrees
Positions (direct):
Sn (0.0000, 0.0000, 0.0000)
Sn (0.0000, 0.5000, 0.2500)
Sn (0.5000, 0.0000, 0.7500)
Sn (0.5000, 0.5000, 0.5000)
B (0.0000, 0.0000, 0.5000)
B (0.0000, 0.5000, 0.7500)
B (0.5000, 0.0000, 0.2500)
B (0.5000, 0.5000, 0.0000)
W (0.1090, 0.2500, 0.6250)
W (0.2500, 0.6090, 0.8750)
W (0.2500, 0.8910, 0.3750)
W (0.3910, 0.2500, 0.1250)
W (0.6090, 0.7500, 0.1250)
W (0.7500, 0.1090, 0.3750)
W (0.7500, 0.3910, 0.8750)
W (0.8910, 0.7500, 0.6250)

Calculated values
Space group ... I-42d
E_form ... 1.1823 eV/atom
Crystal system ... tetragonal

---

DFT (GGA-PBE) results for crystalline SnBW3 at its relaxed geometry.

Cell lengths 4.8848, 4.8848, 4.8848 Å; angles 90.00, 90.00, 90.00 degrees
Positions (direct):
Sn (0.0000, 0.0000, 0.0000)
B (0.5000, 0.5000, 0.5000)
W (0.0000, 0.0000, 0.5000)
W (0.0000, 0.5000, 0.0000)
W (0.5000, 0.0000, 0.0000)

Calculated values
Space group ... Pm-3m
E_form ... 3.7171 eV/atom
Crystal system ... cubic

---

DFT (GGA-PBE) results for crystalline YSnB2 at its relaxed geometry.

Cell lengths 4.6534, 4.6534, 14.0403 Å; angles 90.00, 90.00, 90.00 degrees
Positions (direct):
Y (0.0000, 0.0000, 0.0000)
Y (0.0000, 0.5000, 0.2500)
Y (0.5000, 0.0000, 0.7500)
Y (0.5000, 0.5000, 0.5000)
Sn (0.0000, 0.0000, 0.5000)
Sn (0.0000, 0.5000, 0.7500)
Sn (0.5000, 0.0000, 0.2500)
Sn (0.5000, 0.5000, 0.0000)
B (0.1432, 0.2500, 0.6250)
B (0.2500, 0.6432, 0.8750)
B (0.2500, 0.8568, 0.3750)
B (0.3568, 0.2500, 0.1250)
B (0.6432, 0.7500, 0.1250)
B (0.7500, 0.1432, 0.3750)
B (0.7500, 0.3568, 0.8750)
B (0.8568, 0.7500, 0.6250)

Calculated values
Space group ... I-42d
E_form ... 0.6550 eV/atom
Crystal system ... tetragonal

---

DFT (GGA-PBE) results for crystalline YSn2B at its relaxed geometry.

Cell lengths 7.5001, 7.5001, 6.1747 Å; angles 90.00, 90.00, 90.00 degrees
Positions (direct):
Y (0.0000, 0.0000, 0.0000)
Y (0.0000, 0.5000, 0.2500)
Y (0.5000, 0.0000, 0.7500)
Y (0.5000, 0.5000, 0.5000)
Sn (0.1694, 0.2500, 0.6250)
Sn (0.2500, 0.6694, 0.8750)
Sn (0.2500, 0.8306, 0.3750)
Sn (0.3306, 0.2500, 0.1250)
Sn (0.6694, 0.7500, 0.1250)
Sn (0.7500, 0.1694, 0.3750)
Sn (0.7500, 0.3306, 0.8750)
Sn (0.8306, 0.7500, 0.6250)
B (0.0000, 0.0000, 0.5000)
B (0.0000, 0.5000, 0.7500)
B (0.5000, 0.0000, 0.2500)
B (0.5000, 0.5000, 0.0000)

Calculated values
Space group ... I-42d
E_form ... 0.0510 eV/atom
Crystal system ... tetragonal

---

DFT (GGA-PBE) results for crystalline YZr2SnB at its relaxed geometry.

Cell lengths 5.2946, 5.2946, 5.5319 Å; angles 90.00, 90.00, 90.00 degrees
Positions (direct):
Y (0.0000, 0.0000, 0.0000)
Zr (0.0000, 0.5000, 0.5000)
Zr (0.5000, 0.0000, 0.5000)
Sn (0.0000, 0.0000, 0.5000)
B (0.5000, 0.5000, 0.0000)

Calculated values
Space group ... P4/mmm
E_form ... 1.5019 eV/atom
Crystal system ... tetragonal

---

DFT (GGA-PBE) results for crystalline YZrSn2B at its relaxed geometry.

Cell lengths 4.8860, 4.8860, 4.6511 Å; angles 90.00, 90.00, 90.00 degrees
Positions (direct):
Y (0.0000, 0.0000, 0.0000)
Zr (0.5000, 0.5000, 0.0000)
Sn (0.0000, 0.5000, 0.5000)
Sn (0.5000, 0.0000, 0.5000)
B (0.5000, 0.5000, 0.5000)

Calculated values
Space group ... P4/mmm
E_form ... 0.1012 eV/atom
Crystal system ... tetragonal

---

DFT (GGA-PBE) results for crystalline Zn2SnB at its relaxed geometry.

Cell lengths 4.5260, 4.5260, 14.1143 Å; angles 90.00, 90.00, 90.00 degrees
Positions (direct):
Zn (0.1077, 0.2500, 0.1250)
Zn (0.2500, 0.6077, 0.3750)
Zn (0.2500, 0.8923, 0.8750)
Zn (0.3923, 0.2500, 0.6250)
Zn (0.6077, 0.7500, 0.6250)
Zn (0.7500, 0.1077, 0.8750)
Zn (0.7500, 0.3923, 0.3750)
Zn (0.8923, 0.7500, 0.1250)
Sn (0.0000, 0.0000, 0.5000)
Sn (0.0000, 0.5000, 0.7500)
Sn (0.5000, 0.0000, 0.2500)
Sn (0.5000, 0.5000, 0.0000)
B (0.0000, 0.0000, 0.0000)
B (0.0000, 0.5000, 0.2500)
B (0.5000, 0.0000, 0.7500)
B (0.5000, 0.5000, 0.5000)

Calculated values
Space group ... I-42d
E_form ... 0.5387 eV/atom
Crystal system ... tetragonal

---

DFT (GGA-PBE) results for crystalline Zn2SnB at its relaxed geometry.

Cell lengths 6.4902, 6.4902, 6.4902 Å; angles 90.00, 90.00, 90.00 degrees
Positions (direct):
Zn (0.2500, 0.2500, 0.2500)
Zn (0.2500, 0.2500, 0.7500)
Zn (0.2500, 0.7500, 0.2500)
Zn (0.2500, 0.7500, 0.7500)
Zn (0.7500, 0.2500, 0.2500)
Zn (0.7500, 0.2500, 0.7500)
Zn (0.7500, 0.7500, 0.2500)
Zn (0.7500, 0.7500, 0.7500)
Sn (0.0000, 0.0000, 0.0000)
Sn (0.0000, 0.5000, 0.5000)
Sn (0.5000, 0.0000, 0.5000)
Sn (0.5000, 0.5000, 0.0000)
B (0.0000, 0.0000, 0.5000)
B (0.0000, 0.5000, 0.0000)
B (0.5000, 0.0000, 0.0000)
B (0.5000, 0.5000, 0.5000)

Calculated values
Space group ... Fm-3m
E_form ... 0.9344 eV/atom
Crystal system ... cubic

---

DFT (GGA-PBE) results for crystalline ZnSn3B at its relaxed geometry.

Cell lengths 4.8680, 4.8680, 4.8680 Å; angles 90.00, 90.00, 90.00 degrees
Positions (direct):
Zn (0.0000, 0.0000, 0.0000)
Sn (0.0000, 0.5000, 0.5000)
Sn (0.5000, 0.0000, 0.5000)
Sn (0.5000, 0.5000, 0.0000)
B (0.5000, 0.5000, 0.5000)

Calculated values
Space group ... Pm-3m
E_form ... 0.6228 eV/atom
Crystal system ... cubic

---

DFT (GGA-PBE) results for crystalline ZnSn3B at its relaxed geometry.

Cell lengths 5.1825, 5.1825, 5.1825 Å; angles 90.00, 90.00, 90.00 degrees
Positions (direct):
Zn (0.0000, 0.0000, 0.0000)
Sn (0.0000, 0.0000, 0.5000)
Sn (0.0000, 0.5000, 0.0000)
Sn (0.5000, 0.0000, 0.0000)
B (0.5000, 0.5000, 0.5000)

Calculated values
Space group ... Pm-3m
E_form ... 1.2549 eV/atom
Crystal system ... cubic